[1]
## NaZn8Ni4 (PBE-GGA)

Data for crystalline NaZn8Ni4 at its relaxed geometry.

Values from the calculation:
- symmetry = I4/mmm
- final energy (eV/atom) = -2.849
- V (Å³/f.u.) = 185.3
- energy relative to the elements (eV/atom) = -0.185
- DOS(E_F) (states/eV/f.u.) = 4.8
- total magnetic moment (μB per formula unit) = 0.00

a b c (Å): 6.541 6.541 6.541
angles (deg): 98.77 98.77 134.02
Sites, in units of the cell vectors:
1 Na 0.000 0.000 0.000
2 Zn 0.000 0.330 0.330
3 Zn 0.000 0.670 0.670
4 Zn 0.275 0.500 0.775
5 Zn 0.330 0.000 0.330
6 Zn 0.500 0.275 0.775
7 Zn 0.500 0.725 0.225
8 Zn 0.670 0.000 0.670
9 Zn 0.725 0.500 0.225
10 Ni 0.000 0.000 0.500
11 Ni 0.000 0.500 0.000
12 Ni 0.500 0.000 0.000
13 Ni 0.500 0.500 0.500

[2]
## NaZnNi3 (PBE-GGA)

Data for crystalline NaZnNi3 at its relaxed geometry.

Values from the calculation:
- symmetry = Pm-3m
- final energy (eV/atom) = -3.227
- V (Å³/f.u.) = 88.7
- energy relative to the elements (eV/atom) = 0.761
- energy relative to the lowest polymorph listed for this composition (eV/atom) = 0.000
- DOS(E_F) (states/eV/f.u.) = 6.5
- total magnetic moment (μB per formula unit) = 0.46

a b c (Å): 4.459 4.459 4.459
angles (deg): 90.00 90.00 90.00
Sites, in units of the cell vectors:
1 Na 0.000 0.000 0.000
2 Zn 0.500 0.500 0.500
3 Ni 0.000 0.500 0.500
4 Ni 0.500 0.000 0.500
5 Ni 0.500 0.500 0.000

[3]
## NaZn9Ni2 (PBE-GGA)

Data for crystalline NaZn9Ni2 at its relaxed geometry.

Values from the calculation:
- symmetry = I4_1/amd
- final energy (eV/atom) = -2.131
- V (Å³/f.u.) = 185.6
- energy relative to the elements (eV/atom) = -0.102
- DOS(E_F) (states/eV/f.u.) = 5.2
- total magnetic moment (μB per formula unit) = 0.00

a b c (Å): 8.130 8.130 8.130
angles (deg): 100.11 100.11 130.46
Sites, in units of the cell vectors:
1 Na 0.375 0.625 0.750
2 Na 0.625 0.375 0.250
3 Zn 0.125 0.875 0.250
4 Zn 0.143 0.567 0.334
5 Zn 0.143 0.810 0.577
6 Zn 0.190 0.267 0.334
7 Zn 0.190 0.857 0.923
8 Zn 0.267 0.190 0.834
9 Zn 0.267 0.433 0.077
10 Zn 0.433 0.267 0.577
11 Zn 0.433 0.857 0.166
12 Zn 0.567 0.143 0.834
13 Zn 0.567 0.733 0.423
14 Zn 0.733 0.567 0.923
15 Zn 0.733 0.810 0.166
16 Zn 0.810 0.143 0.077
17 Zn 0.810 0.733 0.666
18 Zn 0.857 0.190 0.423
19 Zn 0.857 0.433 0.666
20 Zn 0.875 0.125 0.750
21 Ni 0.000 0.000 0.000
22 Ni 0.000 0.000 0.500
23 Ni 0.000 0.500 0.000
24 Ni 0.500 0.000 0.500

[4]
## NaZn3Ni (PBE-GGA)

Data for crystalline NaZn3Ni at its relaxed geometry.

Values from the calculation:
- symmetry = Pm-3m
- final energy (eV/atom) = -2.180
- V (Å³/f.u.) = 99.7
- energy relative to the elements (eV/atom) = 0.004
- energy relative to the lowest polymorph listed for this composition (eV/atom) = 0.000
- DOS(E_F) (states/eV/f.u.) = 2.5
- total magnetic moment (μB per formula unit) = 0.00

a b c (Å): 4.637 4.637 4.637
angles (deg): 90.00 90.00 90.00
Sites, in units of the cell vectors:
1 Na 0.000 0.000 0.000
2 Zn 0.000 0.500 0.500
3 Zn 0.500 0.000 0.500
4 Zn 0.500 0.500 0.000
5 Ni 0.500 0.500 0.500

[5]
## Na2Zn2Ni (PBE-GGA)

Data for crystalline Na2Zn2Ni at its relaxed geometry.

Values from the calculation:
- symmetry = P4/mbm
- final energy (eV/atom) = -2.071
- V (Å³/f.u.) = 100.7
- energy relative to the elements (eV/atom) = 0.123
- DOS(E_F) (states/eV/f.u.) = 2.3
- total magnetic moment (μB per formula unit) = 0.00

a b c (Å): 6.331 6.331 5.025
angles (deg): 90.00 90.00 90.00
Sites, in units of the cell vectors:
1 Na 0.180 0.320 0.000
2 Na 0.320 0.820 0.000
3 Na 0.680 0.180 0.000
4 Na 0.820 0.680 0.000
5 Zn 0.150 0.650 0.500
6 Zn 0.350 0.150 0.500
7 Zn 0.650 0.850 0.500
8 Zn 0.850 0.350 0.500
9 Ni 0.000 0.000 0.500
10 Ni 0.500 0.500 0.500

[6]
## NaZn2Ni2 (PBE-GGA)

Data for crystalline NaZn2Ni2 at its relaxed geometry.

Values from the calculation:
- symmetry = I4/mmm
- final energy (eV/atom) = -3.014
- V (Å³/f.u.) = 79.3
- energy relative to the elements (eV/atom) = 0.072
- energy relative to the lowest polymorph listed for this composition (eV/atom) = 0.156
- DOS(E_F) (states/eV/f.u.) = 2.4
- total magnetic moment (μB per formula unit) = 0.00

a b c (Å): 3.749 3.749 11.283
angles (deg): 90.00 90.00 90.00
Sites, in units of the cell vectors:
1 Na 0.000 0.000 0.000
2 Na 0.500 0.500 0.500
3 Zn 0.000 0.000 0.386
4 Zn 0.000 0.000 0.614
5 Zn 0.500 0.500 0.114
6 Zn 0.500 0.500 0.886
7 Ni 0.000 0.500 0.250
8 Ni 0.000 0.500 0.750
9 Ni 0.500 0.000 0.250
10 Ni 0.500 0.000 0.750